Entry from the Alexandria database: crystalline RbAcBr2 at its relaxed geometry (GGA-PBE).

Summary:
N(E_F): 4.49 states/eV per cell
Raw formation energy: -1.27 eV/atom
Size of the total moment: 0.00 μB/cell
Space group: No. 166

Cell lengths 4.1249, 4.1249, 33.8614 Å; angles 90.00, 90.00, 120.00 degrees
Fractional coordinates of all 12 atoms:
1 Rb 0.0000 0.0000 0.0000
2 Rb 0.3333 0.6667 0.6667
3 Rb 0.6667 0.3333 0.3333
4 Ac 0.0000 0.0000 0.5000
5 Ac 0.3333 0.6667 0.1667
6 Ac 0.6667 0.3333 0.8333
7 Br 0.0000 0.0000 0.1001
8 Br 0.0000 0.0000 0.8999
9 Br 0.3333 0.6667 0.5665
10 Br 0.3333 0.6667 0.7668
11 Br 0.6667 0.3333 0.2332
12 Br 0.6667 0.3333 0.4335

Entry from the Alexandria database: crystalline PrCoGe3 at its relaxed geometry (GGA-PBE).

Summary:
N(E_F): 2.74 states/eV per cell
Size of the total moment: 0.00 μB/cell
Space group: No. 107
Energy relative to the elements: -13.236 kcal/mol of atoms

Cell lengths 4.3336, 4.3336, 9.9279 Å; angles 90.00, 90.00, 90.00 degrees
Fractional coordinates of all 10 atoms:
1 Pr 0.0000 0.0000 0.0000
2 Pr 0.5000 0.5000 0.5000
3 Co 0.0000 0.0000 0.3344
4 Co 0.5000 0.5000 0.8344
5 Ge 0.0000 0.0000 0.5657
6 Ge 0.0000 0.5000 0.2424
7 Ge 0.0000 0.5000 0.7424
8 Ge 0.5000 0.0000 0.2424
9 Ge 0.5000 0.0000 0.7424
10 Ge 0.5000 0.5000 0.0657

Entry from the Alexandria database: crystalline TcHICl6 at its relaxed geometry (GGA-PBE).

Summary:
Raw total energy: -3.427 eV/atom
Size of the total moment: 3.00 μB/cell
Space group: No. 1

Cell lengths 6.3890, 6.7530, 7.9373 Å; angles 87.06, 81.59, 61.94 degrees
Fractional coordinates of all 9 atoms:
1 Tc 0.0000 0.0000 0.0000
2 H 0.5008 0.0150 0.0265
3 I 0.8457 0.2849 0.5077
4 Cl 0.0297 0.7425 0.8123
5 Cl 0.2056 0.7505 0.1938
6 Cl 0.3372 0.0171 0.8551
7 Cl 0.6240 0.0111 0.1598
8 Cl 0.7333 0.3090 0.8337
9 Cl 0.9291 0.3164 0.1827

Entry from the Alexandria database: crystalline Ni3TeS at its relaxed geometry (GGA-PBE).

Summary:
N(E_F): 4.32 states/eV per cell
Raw formation energy: 0.10 eV/atom
Size of the total moment: 0.00 μB/cell
Space group: No. 221

Cell lengths 4.2822, 4.2822, 4.2822 Å; angles 90.00, 90.00, 90.00 degrees
Fractional coordinates of all 5 atoms:
1 Ni 0.0000 0.0000 0.5000
2 Ni 0.0000 0.5000 0.0000
3 Ni 0.5000 0.0000 0.0000
4 Te 0.5000 0.5000 0.5000
5 S 0.0000 0.0000 0.0000

Entry from the Alexandria database: crystalline ZnFe2SnP at its relaxed geometry (GGA-PBE).

Summary:
N(E_F): 7.93 states/eV per cell
Size of the total moment: 0.00 μB/cell
Space group: No. 123
Energy relative to the elements: 28.490 kcal/mol of atoms

Cell lengths 4.4703, 4.4703, 4.1785 Å; angles 90.00, 90.00, 90.00 degrees
Fractional coordinates of all 5 atoms:
1 Zn 0.0000 0.0000 0.0000
2 Fe 0.0000 0.5000 0.0000
3 Fe 0.5000 0.0000 0.0000
4 Sn 0.5000 0.5000 0.5000
5 P 0.0000 0.0000 0.5000

Entry from the Alexandria database: crystalline Sr2MnCdPd at its relaxed geometry (GGA-PBE).

Summary:
N(E_F): 4.82 states/eV per cell
Size of the total moment: 4.55 μB/cell
Space group: No. 123
Energy relative to the elements: 11.608 kcal/mol of atoms

Cell lengths 6.1188, 6.1188, 4.9905 Å; angles 90.00, 90.00, 90.00 degrees
Fractional coordinates of all 5 atoms:
1 Sr 0.0000 0.5000 0.0000
2 Sr 0.5000 0.0000 0.0000
3 Mn 0.0000 0.0000 0.5000
4 Cd 0.5000 0.5000 0.0000
5 Pd 0.5000 0.5000 0.5000

Which of these has the highest size of the total moment? Sr2MnCdPd

Copy entry 1 word for word.
Entry from the Alexandria database: crystalline RbAcBr2 at its relaxed geometry (GGA-PBE).

Summary:
N(E_F): 4.49 states/eV per cell
Raw formation energy: -1.27 eV/atom
Size of the total moment: 0.00 μB/cell
Space group: No. 166

Cell lengths 4.1249, 4.1249, 33.8614 Å; angles 90.00, 90.00, 120.00 degrees
Fractional coordinates of all 12 atoms:
1 Rb 0.0000 0.0000 0.0000
2 Rb 0.3333 0.6667 0.6667
3 Rb 0.6667 0.3333 0.3333
4 Ac 0.0000 0.0000 0.5000
5 Ac 0.3333 0.6667 0.1667
6 Ac 0.6667 0.3333 0.8333
7 Br 0.0000 0.0000 0.1001
8 Br 0.0000 0.0000 0.8999
9 Br 0.3333 0.6667 0.5665
10 Br 0.3333 0.6667 0.7668
11 Br 0.6667 0.3333 0.2332
12 Br 0.6667 0.3333 0.4335

What is the formula in the third record? TcHICl6